## AcMgSi2Au5 (GGA-PBE)

Data for a relaxed AcMgSi2Au5 crystal.

Calculated values
E in eV/f.u.: -36.46
Fermi-level density of states in states/eV/f.u.: 2.6
Calculated volume in Å³/cell: 203.2

a b c (Å): 4.648 4.648 9.406
angles (deg): 90.00 90.00 90.00
Space group P4/mmm (No. 123)
Unique sites:
Ac 0.000 0.000 0.000 x1
Mg 0.000 0.000 0.500 x1
Si 0.500 0.500 0.253 x2
Au 0.000 0.500 0.331 x4
Au 0.500 0.500 0.000 x1

***

## CaCd2Si (GGA-PBE)

Data for a relaxed CaCd2Si crystal.

Calculated values
E in eV/f.u.: -9.38
Fermi-level density of states in states/eV/f.u.: 0.9
Calculated volume in Å³/cell: 200.7

a b c (Å): 8.395 3.549 6.883
angles (deg): 90.00 101.80 90.00
Space group Cm (No. 8)
Unique sites:
Ca 0.000 0.000 0.000 x2
Cd 0.241 0.000 0.678 x2
Cd 0.484 0.000 0.435 x2
Si 0.246 0.500 0.270 x2

***

## LuThGe (GGA-PBE)

Data for a relaxed LuThGe crystal.

Calculated values
E in eV/f.u.: -17.27
Fermi-level density of states in states/eV/f.u.: 3.8
Energy of formation in eV per formula unit: -0.71
Calculated volume in Å³/cell: 80.8

a b c (Å): 4.8038 4.8038 4.0428
angles (deg): 90.00 90.00 120.00
Space group P3m1 (No. 156)
Unique sites:
Lu 0.0000 0.0000 0.0000 x1
Th 0.6667 0.3333 0.5067 x1
Ge 0.3333 0.6667 0.1116 x1

***

## CaCd5Ag7 (GGA-PBE)

Data for a relaxed CaCd5Ag7 crystal.

Calculated values
E in eV/f.u.: -27.59
Fermi-level density of states in states/eV/f.u.: 3.9
Energy of formation in eV per formula unit: -1.05
Calculated volume in Å³/cell: 543.1

a b c (Å): 5.698 9.800 9.725
angles (deg): 90.00 90.00 90.00
Space group Imm2 (No. 44)
Unique sites:
Ca 0.000 0.000 0.000 x2
Cd 0.000 0.500 0.282 x2
Cd 0.250 0.245 0.241 x8
Ag 0.000 0.000 0.350 x2
Ag 0.000 0.000 0.648 x2
Ag 0.000 0.282 0.492 x4
Ag 0.000 0.352 0.992 x4
Ag 0.000 0.500 0.702 x2

***

## LaSiAu (GGA-PBE)

Data for a relaxed LaSiAu crystal.

Calculated values
E in eV/f.u.: -15.48
Fermi-level density of states in states/eV/f.u.: 2.1
Calculated volume in Å³/cell: 138.2

a b c (Å): 4.126 5.731 6.268
angles (deg): 88.63 89.94 68.93
Space group P1 (No. 1)
Unique sites:
La 0.000 0.000 0.000 x1
La 0.374 0.251 0.528 x1
Si 0.285 0.429 0.004 x1
Si 0.694 0.611 0.787 x1
Au 0.085 0.831 0.497 x1
Au 0.717 0.566 0.234 x1

***

## AlSiBr2 (GGA-PBE)

Data for a relaxed AlSiBr2 crystal.

Calculated values
Energy above the most stable polymorph in this dataset in meV/atom: 682
E in eV/f.u.: -11.13
Fermi-level density of states in states/eV/f.u.: 1.8
Calculated volume in Å³/cell: 94.0

a b c (Å): 3.515 3.515 7.611
angles (deg): 90.00 90.00 90.00
Space group P4/mmm (No. 123)
Unique sites:
Al 0.000 0.000 0.000 x1
Si 0.000 0.000 0.500 x1
Br 0.500 0.500 0.262 x2

***

- What is the formula in the second record?
  CaCd2Si